Computed, not measured: a geometry-optimized Na2TlZn2Pd5 structure at the PBE level of DFT.

Structure (POSCAR):
```
Na2TlZn2Pd5
1.0
9.618 0.000 0.000
0.000 9.618 0.000
0.000 0.000 3.857
Na Tl Zn Pd
4 2 4 10
Direct
0.174 0.326 0.000
0.326 0.826 0.000
0.674 0.174 0.000
0.826 0.674 0.000
0.000 0.000 0.000
0.500 0.500 0.000
0.123 0.623 0.000
0.377 0.123 0.000
0.623 0.877 0.000
0.877 0.377 0.000
0.000 0.500 0.500
0.070 0.792 0.500
0.208 0.070 0.500
0.292 0.570 0.500
0.430 0.292 0.500
0.500 0.000 0.500
0.570 0.708 0.500
0.708 0.430 0.500
0.792 0.930 0.500
0.930 0.208 0.500
```


Computed, not measured: a geometry-optimized NaTm2Pd9 structure at the PBE level of DFT.

Structure (POSCAR):
```
NaTm2Pd9
1.0
4.107 0.000 0.000
0.000 4.107 0.000
0.000 0.000 12.041
Na Tm Pd
1 2 9
Direct
0.000 0.000 0.000
0.000 0.000 0.330
0.000 0.000 0.670
0.000 0.500 0.165
0.000 0.500 0.500
0.000 0.500 0.835
0.500 0.000 0.165
0.500 0.000 0.500
0.500 0.000 0.835
0.500 0.500 0.000
0.500 0.500 0.332
0.500 0.500 0.668
```


Computed, not measured: a geometry-optimized NaTmPd4 structure at the PBE level of DFT.

Structure (POSCAR):
```
NaTmPd4
1.0
0.000 3.803 3.803
3.803 0.000 3.803
3.803 3.803 0.000
Na Tm Pd
1 1 4
Direct
0.000 0.000 0.000
0.250 0.250 0.250
0.125 0.625 0.625
0.625 0.125 0.625
0.625 0.625 0.125
0.625 0.625 0.625
```


Computed, not measured: a geometry-optimized NaTmPd structure at the PBE level of DFT.

Structure (POSCAR):
```
NaTmPd
1.0
2.848 -2.804 0.000
2.848 2.804 0.000
-2.760 0.000 8.938
Na Tm Pd
2 2 2
Direct
0.244 0.244 0.495
0.756 0.756 0.505
0.312 0.312 0.127
0.688 0.688 0.873
0.157 0.157 0.805
0.843 0.843 0.195
```


| no. | energy relative to the elements (eV/atom) | total moment (μB per cell) |
| --- | --- | --- |
| 1 | -0.310 | 0.0 |
| 2 | -0.611 | 0.0 |
| 3 | -0.544 | 0.0 |
| 4 | -0.422 | 0.0 |